Entry 1:
# ScIrPt2

A geometry-optimized ScIrPt2 structure (PBE-GGA, the Open Quantum Materials Database).

a b c (Å): 4.516 4.516 4.516
angles (deg): 60.00 60.00 60.00
Fractional coordinates of all 4 atoms:
Pt 0.500 0.500 0.500
Pt 0.750 0.750 0.750
Ir 0.250 0.250 0.250
Sc 0.000 0.000 0.000

Magnetization ... 0.002 μB/atom
ΔE_f ... -0.471 eV per atom
DFT total energy ... -7.29 eV per atom
Crystal system ... cubic
Density ... 16.0 g/cm3

Entry 2:
# Si2IrPt

A geometry-optimized Si2IrPt structure (PBE-GGA, the Open Quantum Materials Database).

a b c (Å): 3.642 5.853 5.510
angles (deg): 90.00 90.00 90.00
Fractional coordinates of all 8 atoms:
Ir 0.000 0.552 0.750
Ir 0.000 0.448 0.250
Si 0.500 0.656 0.429
Si 0.000 0.827 0.076
Si 0.000 0.173 0.576
Si 0.500 0.344 0.929
Pt 0.500 0.053 0.245
Pt 0.500 0.947 0.745

Magnetization ... 0.000 μB/atom
DFT total energy ... -7.16 eV per atom
Crystal system ... orthorhombic
Density ... 12.5 g/cm3
Energy above the lowest structure with this stoichiometry ... 0 meV/atom

Entry 3:
# SiIrPt2

A geometry-optimized SiIrPt2 structure (PBE-GGA, the Open Quantum Materials Database).

a b c (Å): 4.389 4.389 4.389
angles (deg): 60.00 60.00 60.00
Fractional coordinates of all 4 atoms:
Pt 0.750 0.750 0.750
Pt 0.000 0.000 0.000
Si 0.500 0.500 0.500
Ir 0.250 0.250 0.250

Magnetization ... 0.003 μB/atom
DFT total energy ... -6.63 eV per atom
Crystal system ... cubic
Density ... 17.0 g/cm3

Entry 4:
# Si2IrPt

A geometry-optimized Si2IrPt structure (PBE-GGA, the Open Quantum Materials Database).

a b c (Å): 5.596 3.654 6.133
angles (deg): 90.00 110.04 90.00
Fractional coordinates of all 8 atoms:
Si 0.085 0.750 0.896
Si 0.213 0.250 0.604
Si 0.915 0.250 0.104
Si 0.787 0.750 0.396
Ir 0.811 0.250 0.689
Ir 0.189 0.750 0.311
Pt 0.469 0.750 0.811
Pt 0.531 0.250 0.189

Magnetization ... 0.000 μB/atom
DFT total energy ... -7.00 eV per atom
Crystal system ... monoclinic
Density ... 12.5 g/cm3
Energy above the lowest structure with this stoichiometry ... 161 meV/atom

Entry 5:
# Si2IrPt

A geometry-optimized Si2IrPt structure (PBE-GGA, the Open Quantum Materials Database).

a b c (Å): 4.386 4.386 4.386
angles (deg): 60.00 60.00 60.00
Fractional coordinates of all 4 atoms:
Ir 0.250 0.250 0.250
Si 0.000 0.000 0.000
Si 0.750 0.750 0.750
Pt 0.500 0.500 0.500

Magnetization ... 0.001 μB/atom
DFT total energy ... -6.27 eV per atom
Crystal system ... cubic
Density ... 12.3 g/cm3
Energy above the lowest structure with this stoichiometry ... 887 meV/atom

Entry 6:
# Si2IrPt

A geometry-optimized Si2IrPt structure (PBE-GGA, the Open Quantum Materials Database).

a b c (Å): 4.018 8.219 3.609
angles (deg): 90.00 90.00 90.00
Fractional coordinates of all 8 atoms:
Si 0.500 0.282 0.249
Si 0.000 0.718 0.749
Si 0.500 0.757 0.250
Si 0.000 0.243 0.750
Ir 0.000 0.433 0.251
Ir 0.500 0.567 0.751
Pt 0.500 0.080 0.750
Pt 0.000 0.920 0.250

Magnetization ... 0.001 μB/atom
DFT total energy ... -7.01 eV per atom
Crystal system ... orthorhombic
Density ... 12.4 g/cm3
Energy above the lowest structure with this stoichiometry ... 151 meV/atom

Entry 7:
# SmSi2IrPt

A geometry-optimized SmSi2IrPt structure (PBE-GGA, the Open Quantum Materials Database).

a b c (Å): 4.177 4.177 9.954
angles (deg): 90.00 90.00 90.00
Fractional coordinates of all 10 atoms:
Ir 0.000 0.000 0.000
Ir 0.500 0.500 0.000
Pt 0.500 0.000 0.626
Pt 0.000 0.500 0.374
Si 0.000 0.000 0.500
Si 0.500 0.500 0.500
Si 0.000 0.500 0.128
Si 0.500 0.000 0.872
Sm 0.000 0.500 0.747
Sm 0.500 0.000 0.253

Magnetization ... 0.000 μB/atom
DFT total energy ... -7.21 eV per atom
Crystal system ... tetragonal
Density ... 11.4 g/cm3

Entry 8:
# Tm2Si4IrPt

A geometry-optimized Tm2Si4IrPt structure (PBE-GGA, the Open Quantum Materials Database).

a b c (Å): 4.194 8.646 8.646
angles (deg): 26.98 90.00 90.00
Fractional coordinates of all 8 atoms:
Si 0.500 0.755 0.755
Si 0.500 0.033 0.033
Si 0.000 0.965 0.965
Si 0.000 0.249 0.249
Ir 0.000 0.825 0.825
Pt 0.500 0.173 0.173
Tm 0.500 0.398 0.398
Tm 0.000 0.604 0.604

Magnetization ... 0.001 μB/atom
DFT total energy ... -6.62 eV per atom
Crystal system ... orthorhombic
Density ... 9.8 g/cm3

Entry 9:
# Sm3Sn3Ir2Pt

A geometry-optimized Sm3Sn3Ir2Pt structure (PBE-GGA, the Open Quantum Materials Database).

a b c (Å): 7.495 7.495 4.120
angles (deg): 90.00 90.00 120.00
Fractional coordinates of all 9 atoms:
Ir 0.667 0.333 0.500
Ir 0.333 0.667 0.500
Sn 0.258 0.258 0.500
Sn 0.742 0.000 0.500
Sn 0.000 0.742 0.500
Pt 0.000 0.000 0.000
Sm 0.588 0.588 0.000
Sm 0.412 0.000 0.000
Sm 0.000 0.412 0.000

Magnetization ... 0.002 μB/atom
DFT total energy ... -6.43 eV per atom
Crystal system ... hexagonal
Density ... 11.5 g/cm3

Entry 10:
# SmSn2IrPt

A geometry-optimized SmSn2IrPt structure (PBE-GGA, the Open Quantum Materials Database).

a b c (Å): 4.415 4.415 11.224
angles (deg): 90.00 90.00 90.00
Fractional coordinates of all 10 atoms:
Ir 0.000 0.000 0.000
Ir 0.500 0.500 0.000
Sn 0.000 0.000 0.500
Sn 0.000 0.500 0.130
Sn 0.500 0.500 0.500
Sn 0.500 0.000 0.870
Pt 0.500 0.000 0.640
Pt 0.000 0.500 0.360
Sm 0.500 0.000 0.237
Sm 0.000 0.500 0.763

Magnetization ... 0.000 μB/atom
DFT total energy ... -6.22 eV per atom
Crystal system ... tetragonal
Density ... 11.8 g/cm3

Entry 11:
# Sm3Zn3IrPt2

A geometry-optimized Sm3Zn3IrPt2 structure (PBE-GGA, the Open Quantum Materials Database).

a b c (Å): 7.312 7.312 3.982
angles (deg): 90.00 90.00 120.00
Fractional coordinates of all 9 atoms:
Zn 0.759 0.000 0.500
Zn 0.000 0.759 0.500
Zn 0.241 0.241 0.500
Pt 0.333 0.667 0.500
Pt 0.667 0.333 0.500
Sm 0.597 0.597 0.000
Sm 0.000 0.403 0.000
Sm 0.403 0.000 0.000
Ir 0.000 0.000 0.000

Magnetization ... 0.003 μB/atom
ΔE_f ... -0.831 eV per atom
DFT total energy ... -5.15 eV per atom
Crystal system ... hexagonal
Density ... 11.1 g/cm3

Entry 12:
# SnIrPt

A geometry-optimized SnIrPt structure (PBE-GGA, the Open Quantum Materials Database).

a b c (Å): 6.950 6.950 3.808
angles (deg): 90.00 90.00 120.00
Fractional coordinates of all 9 atoms:
Sn 0.333 0.667 0.000
Sn 0.667 0.333 0.000
Sn 0.000 0.000 0.500
Pt 0.735 0.735 0.000
Pt 0.265 0.000 0.000
Pt 0.000 0.265 0.000
Ir 0.000 0.603 0.500
Ir 0.397 0.397 0.500
Ir 0.603 0.000 0.500

Magnetization ... 0.001 μB/atom
DFT total energy ... -6.22 eV per atom
Crystal system ... hexagonal
Density ... 15.8 g/cm3
Energy above the lowest structure with this stoichiometry ... 132 meV/atom

Entry 13:
# SnIrPt

A geometry-optimized SnIrPt structure (PBE-GGA, the Open Quantum Materials Database).

a b c (Å): 4.391 4.391 4.391
angles (deg): 60.00 60.00 60.00
Fractional coordinates of all 3 atoms:
Sn 0.750 0.750 0.750
Pt 0.250 0.250 0.250
Ir 0.000 0.000 0.000

Magnetization ... 0.000 μB/atom
DFT total energy ... -6.35 eV per atom
Crystal system ... cubic
Density ... 14.0 g/cm3
Energy above the lowest structure with this stoichiometry ... 0 meV/atom

Entry 14:
# SnIr2Pt

A geometry-optimized SnIr2Pt structure (PBE-GGA, the Open Quantum Materials Database).

a b c (Å): 4.537 4.537 4.537
angles (deg): 60.00 60.00 60.00
Fractional coordinates of all 4 atoms:
Pt 0.250 0.250 0.250
Ir 0.000 0.000 0.000
Ir 0.750 0.750 0.750
Sn 0.500 0.500 0.500

Magnetization ... 0.156 μB/atom
DFT total energy ... -6.73 eV per atom
Crystal system ... cubic
Density ... 17.6 g/cm3

Entry 15:
# Tm3Sn3Ir2Pt

A geometry-optimized Tm3Sn3Ir2Pt structure (PBE-GGA, the Open Quantum Materials Database).

a b c (Å): 7.562 7.562 3.809
angles (deg): 90.00 90.00 120.00
Fractional coordinates of all 9 atoms:
Tm 0.598 0.598 0.000
Tm 0.000 0.402 0.000
Tm 0.402 0.000 0.000
Sn 0.731 0.000 0.500
Sn 0.000 0.731 0.500
Sn 0.269 0.269 0.500
Ir 0.333 0.667 0.500
Ir 0.667 0.333 0.500
Pt 0.000 0.000 0.000

Magnetization ... 0.000 μB/atom
DFT total energy ... -6.38 eV per atom
Crystal system ... hexagonal
Density ... 12.7 g/cm3

Entry 16:
# Y3Sn3Ir2Pt

A geometry-optimized Y3Sn3Ir2Pt structure (PBE-GGA, the Open Quantum Materials Database).

a b c (Å): 7.514 7.514 3.970
angles (deg): 90.00 90.00 120.00
Fractional coordinates of all 9 atoms:
Pt 0.000 0.000 0.000
Sn 0.000 0.264 0.500
Sn 0.264 0.000 0.500
Sn 0.736 0.736 0.500
Ir 0.333 0.667 0.500
Ir 0.667 0.333 0.500
Y 0.000 0.593 0.000
Y 0.593 0.000 0.000
Y 0.407 0.407 0.000

Magnetization ... 0.000 μB/atom
DFT total energy ... -7.04 eV per atom
Crystal system ... hexagonal
Density ... 10.3 g/cm3

Entry 17:
# Y3Sn3IrPt2

A geometry-optimized Y3Sn3IrPt2 structure (PBE-GGA, the Open Quantum Materials Database).

a b c (Å): 7.516 7.516 4.005
angles (deg): 90.00 90.00 120.00
Fractional coordinates of all 9 atoms:
Sn 0.256 0.000 0.500
Sn 0.000 0.256 0.500
Sn 0.744 0.744 0.500
Pt 0.667 0.333 0.500
Pt 0.333 0.667 0.500
Ir 0.000 0.000 0.000
Y 0.405 0.405 0.000
Y 0.595 0.000 0.000
Y 0.000 0.595 0.000

Magnetization ... 0.001 μB/atom
DFT total energy ... -6.86 eV per atom
Crystal system ... hexagonal
Density ... 10.2 g/cm3

Entry 18:
# Sr6IrPt

A geometry-optimized Sr6IrPt structure (PBE-GGA, the Open Quantum Materials Database).

a b c (Å): 9.946 7.205 7.205
angles (deg): 34.84 90.00 90.00
Fractional coordinates of all 8 atoms:
Sr 0.177 0.847 0.847
Sr 0.500 0.418 0.418
Sr 0.823 0.847 0.847
Sr 0.000 0.586 0.586
Sr 0.686 0.152 0.152
Sr 0.314 0.152 0.152
Ir 0.000 0.240 0.240
Pt 0.500 0.759 0.759

Magnetization ... 0.001 μB/atom
DFT total energy ... -3.48 eV per atom
Crystal system ... orthorhombic
Density ... 5.1 g/cm3

Entry 19:
# Ta3Ir2Pt

A geometry-optimized Ta3Ir2Pt structure (PBE-GGA, the Open Quantum Materials Database).

a b c (Å): 13.891 2.856 4.896
angles (deg): 90.00 90.00 90.00
Fractional coordinates of all 12 atoms:
Ir 0.084 0.000 0.830
Ir 0.584 0.000 0.170
Ir 0.916 0.000 0.170
Ir 0.416 0.000 0.830
Pt 0.250 0.000 0.477
Pt 0.750 0.000 0.523
Ta 0.750 0.500 0.027
Ta 0.081 0.500 0.329
Ta 0.419 0.500 0.329
Ta 0.919 0.500 0.671
Ta 0.581 0.500 0.671
Ta 0.250 0.500 0.973

Magnetization ... 0.000 μB/atom
ΔE_f ... -0.612 eV per atom
DFT total energy ... -10.50 eV per atom
Crystal system ... orthorhombic
Density ... 19.2 g/cm3

Entry 20:
# Ta3IrPt2

A geometry-optimized Ta3IrPt2 structure (PBE-GGA, the Open Quantum Materials Database).

a b c (Å): 13.894 2.842 4.951
angles (deg): 90.00 90.00 90.00
Fractional coordinates of all 12 atoms:
Ta 0.586 0.500 0.158
Ta 0.250 0.500 0.488
Ta 0.086 0.500 0.842
Ta 0.414 0.500 0.842
Ta 0.750 0.500 0.512
Ta 0.914 0.500 0.158
Pt 0.418 0.000 0.339
Pt 0.082 0.000 0.339
Pt 0.582 0.000 0.661
Pt 0.918 0.000 0.661
Ir 0.250 0.000 0.989
Ir 0.750 0.000 0.011

Magnetization ... 0.000 μB/atom
ΔE_f ... -0.636 eV per atom
DFT total energy ... -10.06 eV per atom
Crystal system ... orthorhombic
Density ... 19.1 g/cm3

Entry 21:
# TbIrPt

A geometry-optimized TbIrPt structure (PBE-GGA, the Open Quantum Materials Database).

a b c (Å): 4.534 4.534 4.534
angles (deg): 60.00 60.00 60.00
Fractional coordinates of all 3 atoms:
Tb 0.750 0.750 0.750
Ir 0.250 0.250 0.250
Pt 0.000 0.000 0.000

Magnetization ... 0.175 μB/atom
ΔE_f ... -0.296 eV per atom
DFT total energy ... -6.81 eV per atom
Crystal system ... cubic
Density ... 13.8 g/cm3

Entry 22:
# TbTm2Zn3Ir2Pt

A geometry-optimized TbTm2Zn3Ir2Pt structure (PBE-GGA, the Open Quantum Materials Database).

a b c (Å): 3.866 7.165 7.165
angles (deg): 120.28 90.00 90.00
Fractional coordinates of all 9 atoms:
Pt 0.000 0.997 0.997
Ir 0.500 0.670 0.331
Ir 0.500 0.331 0.670
Tb 0.000 0.409 0.409
Tm 0.000 0.000 0.594
Tm 0.000 0.594 0.000
Zn 0.500 0.000 0.255
Zn 0.500 0.744 0.744
Zn 0.500 0.255 0.000

Magnetization ... 0.000 μB/atom
ΔE_f ... -0.807 eV per atom
DFT total energy ... -5.38 eV per atom
Crystal system ... orthorhombic
Density ... 12.3 g/cm3

Entry 23:
# Tb2YZn3Ir2Pt

A geometry-optimized Tb2YZn3Ir2Pt structure (PBE-GGA, the Open Quantum Materials Database).

a b c (Å): 3.897 7.207 7.207
angles (deg): 120.03 90.00 90.00
Fractional coordinates of all 9 atoms:
Tb 0.000 0.408 0.000
Tb 0.000 0.000 0.408
Zn 0.500 0.746 0.999
Zn 0.500 0.999 0.746
Zn 0.500 0.255 0.255
Pt 0.000 0.001 0.001
Ir 0.500 0.667 0.332
Ir 0.500 0.332 0.667
Y 0.000 0.592 0.592

Magnetization ... 0.000 μB/atom
ΔE_f ... -0.783 eV per atom
DFT total energy ... -5.59 eV per atom
Crystal system ... orthorhombic
Density ... 11.2 g/cm3

Entry 24:
# TbY2Zn3Ir2Pt

A geometry-optimized TbY2Zn3Ir2Pt structure (PBE-GGA, the Open Quantum Materials Database).

a b c (Å): 3.896 7.204 7.204
angles (deg): 119.96 90.00 90.00
Fractional coordinates of all 9 atoms:
Zn 0.500 0.253 0.253
Zn 0.500 0.001 0.746
Zn 0.500 0.746 0.001
Ir 0.500 0.335 0.667
Ir 0.500 0.667 0.335
Y 0.000 0.000 0.408
Y 0.000 0.408 0.000
Pt 0.000 0.999 0.999
Tb 0.000 0.592 0.592

Magnetization ... 0.000 μB/atom
ΔE_f ... -0.780 eV per atom
DFT total energy ... -5.79 eV per atom
Crystal system ... orthorhombic
Density ... 10.5 g/cm3

Entry 25:
# Tb3Zn3IrPt2

A geometry-optimized Tb3Zn3IrPt2 structure (PBE-GGA, the Open Quantum Materials Database).

a b c (Å): 7.207 7.207 3.947
angles (deg): 90.00 90.00 120.00
Fractional coordinates of all 9 atoms:
Pt 0.667 0.333 0.500
Pt 0.333 0.667 0.500
Tb 0.402 0.000 0.000
Tb 0.598 0.598 0.000
Tb 0.000 0.402 0.000
Zn 0.756 0.000 0.500
Zn 0.000 0.756 0.500
Zn 0.244 0.244 0.500
Ir 0.000 0.000 0.000

Magnetization ... 0.004 μB/atom
ΔE_f ... -0.875 eV per atom
DFT total energy ... -5.17 eV per atom
Crystal system ... hexagonal
Density ... 11.7 g/cm3